Entry 1:
An optimized crystal structure of Sr5N2O2, computed with PBE.

POSCAR file:
```
Sr5N2O2
1.0
6.5346 -2.3427 0.0000
6.5346 2.3427 0.0000
-4.8245 0.0000 6.3425
Sr N O
5 2 2
direct
0.0000 0.0000 0.0000
0.1399 0.1399 0.7616
0.3708 0.3708 0.6585
0.6292 0.6292 0.3415
0.8601 0.8601 0.2384
0.1077 0.1077 0.4203
0.8923 0.8923 0.5797
0.3816 0.3816 0.0092
0.6184 0.6184 0.9908
```

- DFT total energy: -5.20 eV/atom
- Symmetry: C2/m

Entry 2:
An optimized crystal structure of Sr3Ta2N4O2, computed with PBE.

POSCAR file:
```
Sr3Ta2N4O2
1.0
-2.0399 2.0399 10.2862
2.0399 -2.0399 10.2862
2.0399 2.0399 -10.2862
Sr Ta N O
3 2 4 2
direct
0.0000 0.0000 0.0000
0.1791 0.1791 0.0000
0.8209 0.8209 0.0000
0.3962 0.3962 0.0000
0.6038 0.6038 0.0000
0.0880 0.5880 0.5000
0.4120 0.9120 0.5000
0.5880 0.0880 0.5000
0.9120 0.4120 0.5000
0.3025 0.3025 0.0000
0.6975 0.6975 0.0000
```

- DFT total energy: -8.18 eV/atom
- Symmetry: I4/mmm

Entry 3:
An optimized crystal structure of SrTcNO2, computed with PBE.

POSCAR file:
```
SrTcNO2
1.0
4.0118 0.0000 0.0000
0.0000 4.0118 0.0000
0.0000 0.0000 3.8967
Sr Tc N O
1 1 1 2
direct
0.0000 0.0000 0.0000
0.5000 0.5000 0.5000
0.5000 0.5000 0.0000
0.0000 0.5000 0.5000
0.5000 0.0000 0.5000
```

- DFT total energy: -7.52 eV/atom
- Symmetry: P4/mmm

Entry 4:
An optimized crystal structure of SrTcNO2, computed with PBE.

POSCAR file:
```
SrTcNO2
1.0
4.4974 0.0000 0.0000
0.0000 4.4974 0.0000
0.0000 0.0000 4.6963
Sr Tc N O
1 1 1 2
direct
0.0000 0.0000 0.0000
0.5000 0.5000 0.5000
0.0000 0.0000 0.5000
0.0000 0.5000 0.0000
0.5000 0.0000 0.0000
```

- DFT total energy: -4.98 eV/atom
- Symmetry: P4/mmm

Entry 5:
An optimized crystal structure of SrTe2NO, computed with PBE.

POSCAR file:
```
SrTe2NO
1.0
6.5685 0.0000 0.0000
0.0000 6.5685 0.0000
0.0000 0.0000 4.9582
Sr Te N O
1 2 1 1
direct
0.0000 0.0000 0.0000
0.0000 0.5000 0.0000
0.5000 0.0000 0.0000
0.0000 0.0000 0.5000
0.5000 0.5000 0.5000
```

- Distance to the lowest polymorph of the same formula: 1059.8 meV/atom
- Symmetry: P4/mmm

Entry 6:
An optimized crystal structure of SrTe2NO, computed with PBE.

POSCAR file:
```
SrTe2NO
1.0
4.5068 0.0000 0.0000
0.0000 4.5068 0.0000
0.0000 0.0000 5.6554
Sr Te N O
1 2 1 1
direct
0.0000 0.0000 0.0000
0.0000 0.5000 0.5000
0.5000 0.0000 0.5000
0.5000 0.5000 0.0000
0.5000 0.5000 0.5000
```

- Distance to the lowest polymorph of the same formula: 0.0 meV/atom
- Symmetry: P4/mmm

Entry 7:
An optimized crystal structure of SrTeNO2, computed with PBE.

POSCAR file:
```
SrTeNO2
1.0
4.5419 0.0000 0.0000
0.0000 4.5419 0.0000
0.0000 0.0000 4.8966
Sr Te N O
1 1 1 2
direct
0.0000 0.0000 0.0000
0.5000 0.5000 0.5000
0.0000 0.0000 0.5000
0.0000 0.5000 0.0000
0.5000 0.0000 0.0000
```

- DFT total energy: -3.97 eV/atom
- Symmetry: P4/mmm

Entry 8:
An optimized crystal structure of SrTeNO2, computed with PBE.

POSCAR file:
```
SrTeNO2
1.0
4.1978 0.0000 0.0000
0.0000 4.1978 0.0000
0.0000 0.0000 4.1005
Sr Te N O
1 1 1 2
direct
0.0000 0.0000 0.0000
0.5000 0.5000 0.5000
0.5000 0.5000 0.0000
0.0000 0.5000 0.5000
0.5000 0.0000 0.5000
```

- DFT total energy: -5.61 eV/atom
- Symmetry: P4/mmm